Computed, not measured: a relaxed structure of Tb6Y3Ho2Tm at the PBE level of DFT.

**Space group**: C2/m (12)
**Total DFT energy (no corrections)**: -5.048 eV/atom

Cell: 6.1505 6.1505 11.7590 Å, 94.98 94.98 119.95°
Closest atoms and distances in Å follow each position.
Sites, in units of the cell vectors:
1 Tb 0.0839 0.4170 0.7520  2 Ho 3.53, 1 Tm 3.53, 6 Tb 3.55, 3 Y 3.57
2 Tb 0.2499 0.2499 0.2481  1 Tm 3.53, 2 Ho 3.53, 6 Tb 3.55, 3 Y 3.57
3 Tb 0.4170 0.0839 0.7520  2 Ho 3.53, 1 Tm 3.53, 6 Tb 3.55, 3 Y 3.57
4 Tb 0.5830 0.9161 0.2480  2 Ho 3.53, 1 Tm 3.53, 6 Tb 3.55, 3 Y 3.57
5 Tb 0.7501 0.7501 0.7519  1 Tm 3.53, 2 Ho 3.53, 6 Tb 3.55, 3 Y 3.57
6 Tb 0.9161 0.5830 0.2480  2 Ho 3.53, 1 Tm 3.53, 6 Tb 3.55, 3 Y 3.57
7 Y 0.0000 0.0000 0.5000  6 Y 3.55, 6 Tb 3.57
8 Y 0.3334 0.6666 0.5000  6 Y 3.55, 6 Tb 3.57
9 Y 0.6666 0.3334 0.5000  6 Y 3.55, 6 Tb 3.57
10 Ho 0.1667 0.8333 0.0000  6 Tb 3.53, 3 Ho 3.55, 3 Tm 3.55
11 Ho 0.8333 0.1667 0.0000  6 Tb 3.53, 3 Ho 3.55, 3 Tm 3.55
12 Tm 0.5000 0.5000 0.0000  6 Tb 3.53, 6 Ho 3.55